Record 1
The following is a DFT calculation (PBE-GGA) of a geometry-optimized HoZnCu5 structure.

## Properties
Theoretical density = 8.9 g/cm3
Uncorrected energy = -3.965 eV per atom
Fermi-level density of states = 3.45 states/eV/f.u.
ΔH_f (0 K) = -203 meV/atom

Cell: 5.0141 8.0571 10.1599 Å, 90.00 90.00 90.00°
Closest atoms and distances in Å follow each position.
Positions (direct):
Ho  0.2500  0.2428  0.9371  11 Cu 2.87-3.19, 2 Zn 3.14-3.20
Ho  0.7500  0.2572  0.4371  11 Cu 2.87-3.19, 2 Zn 3.14-3.20
Ho  0.2500  0.7428  0.5629  11 Cu 2.87-3.19, 2 Zn 3.14-3.20
Ho  0.7500  0.7572  0.0629  11 Cu 2.87-3.19, 2 Zn 3.14-3.20
Zn  0.2500  0.8581  0.8583  8 Cu 2.49-2.75
Zn  0.7500  0.6419  0.3583  8 Cu 2.49-2.75
Zn  0.2500  0.3581  0.6417  8 Cu 2.49-2.75
Zn  0.7500  0.1419  0.1417  8 Cu 2.49-2.75
Cu  0.2500  0.5949  0.0167  5 Cu 2.45-2.54, 1 Zn 2.66
Cu  0.7500  0.9051  0.5167  5 Cu 2.45-2.54, 1 Zn 2.66
Cu  0.2500  0.0949  0.4833  5 Cu 2.45-2.54, 1 Zn 2.66
Cu  0.7500  0.4051  0.9833  5 Cu 2.45-2.54, 1 Zn 2.66
Cu  0.7500  0.3162  0.7473  7 Cu 2.46-2.61, 2 Zn 2.75
Cu  0.2500  0.1838  0.2473  7 Cu 2.46-2.61, 2 Zn 2.75
Cu  0.7500  0.8162  0.7527  7 Cu 2.46-2.61, 2 Zn 2.75
Cu  0.2500  0.6838  0.2527  7 Cu 2.46-2.61, 2 Zn 2.75
Cu  0.2500  0.9389  0.0949  1 Zn 2.49, 4 Cu 2.51-2.61
Cu  0.7500  0.5611  0.5949  1 Zn 2.49, 4 Cu 2.51-2.61
Cu  0.2500  0.4389  0.4051  1 Zn 2.49, 4 Cu 2.51-2.61
Cu  0.7500  0.0611  0.9051  1 Zn 2.49, 4 Cu 2.51-2.61
Cu  0.9938  0.4339  0.1912  7 Cu 2.44-2.57, 2 Zn 2.68-2.70
Cu  0.0062  0.0661  0.6912  7 Cu 2.44-2.57, 2 Zn 2.68-2.70
Cu  0.5062  0.9339  0.3088  7 Cu 2.44-2.57, 2 Zn 2.68-2.70
Cu  0.4938  0.5661  0.8088  7 Cu 2.44-2.57, 2 Zn 2.68-2.70
Cu  0.0062  0.5661  0.8088  7 Cu 2.44-2.57, 2 Zn 2.68-2.70
Cu  0.9938  0.9339  0.3088  7 Cu 2.44-2.57, 2 Zn 2.68-2.70
Cu  0.4938  0.0661  0.6912  7 Cu 2.44-2.57, 2 Zn 2.68-2.70
Cu  0.5062  0.4339  0.1912  7 Cu 2.44-2.57, 2 Zn 2.68-2.70

---

Record 2
The following is a DFT calculation (PBE-GGA) of a geometry-optimized LiAgRh2 structure.

## Properties
Theoretical density = 9.1 g/cm3
Polymorph energy (0 for the lowest one) = 0.517 eV per formula unit
Uncorrected energy = -4.741 eV per atom
Fermi-level density of states = 5.49 states/eV/f.u.
ΔH_f (0 K) = 126 meV/atom

Cell: 5.1840 5.1840 5.1840 Å, 147.46 127.63 63.02°
Closest atoms and distances in Å follow each position.
Positions (direct):
Ag  0.5097  0.5097  0.0000  2 Li 2.59, 6 Rh 2.71-2.79, 2 Ag 2.90
Li  0.7530  0.2530  0.5000  2 Ag 2.59, 6 Rh 2.60-2.71, 2 Li 2.90
Rh  0.9971  0.9971  0.0000  4 Rh 2.59-2.90, 2 Li 2.60, 4 Ag 2.71
Rh  0.2402  0.7402  0.5000  4 Rh 2.59-2.90, 4 Li 2.71, 2 Ag 2.79

---

Record 3
The following is a DFT calculation (PBE-GGA) of a geometry-optimized AlTlAgSe3 structure.

## Properties
Theoretical density = 5.8 g/cm3
Uncorrected energy = -3.619 eV per atom
Fermi-level density of states = 2.80 states/eV/f.u.
Raw formation energy = -382.9 meV/atom

Cell: 6.8540 6.8338 7.8669 Å, 115.74 90.00 90.00°
Closest atoms and distances in Å follow each position.
Positions (direct):
Al  0.2500  0.0707  0.1415  5 Se 2.33-2.55
Al  0.7500  0.9293  0.8585  5 Se 2.33-2.55
Tl  0.7500  0.2279  0.4557  4 Se 3.43-3.46
Tl  0.2500  0.7721  0.5443  4 Se 3.43-3.46
Ag  0.2500  0.4291  0.8582  5 Se 2.69-2.74
Ag  0.7500  0.5709  0.1418  5 Se 2.69-2.74
Se  0.2500  0.2355  0.4710  1 Al 2.33
Se  0.0000  0.2343  0.0000  2 Al 2.55, 2 Ag 2.69
Se  0.5000  0.7657  0.0000  2 Al 2.55, 2 Ag 2.69
Se  0.5000  0.2343  0.0000  2 Al 2.55, 2 Ag 2.69
Se  0.0000  0.7657  0.0000  2 Al 2.55, 2 Ag 2.69
Se  0.7500  0.7645  0.5290  1 Al 2.33

---

Record 4
The following is a DFT calculation (PBE-GGA) of a geometry-optimized SiOs2Pb structure.

## Properties
Theoretical density = 15.2 g/cm3
Polymorph energy (0 for the lowest one) = 0.419 eV per formula unit
Uncorrected energy = -7.437 eV per atom
Fermi-level density of states = 3.39 states/eV/f.u.
Raw formation energy = 460.6 meV/atom

Cell: 9.1289 9.1289 9.1289 Å, 18.55 18.55 18.55°
Closest atoms and distances in Å follow each position.
Positions (direct):
Os  0.0164  0.0164  0.0164  3 Si 2.48
Os  0.4836  0.4836  0.4836  3 Si 2.48
Pb  0.2500  0.2500  0.2500  6 Pb 2.94, 6 Os 3.18
Si  0.7500  0.7500  0.7500  6 Os 2.48

---

Record 5
The following is a DFT calculation (PBE-GGA) of a geometry-optimized HfCo2PRu structure.

## Properties
Theoretical density = 7.6 g/cm3
Uncorrected energy = -6.679 eV per atom
Fermi-level density of states = 5.94 states/eV/f.u.
ΔH_f (0 K) = 1091 meV/atom

Cell: 4.3326 4.9950 4.3326 Å, 90.00 90.00 90.00°
Closest atoms and distances in Å follow each position.
Positions (direct):
Ru  0.0000  0.0000  0.0000  4 Co 2.17
Hf  0.0000  0.5000  0.0000  2 Ru 2.50
P  0.5000  0.5000  0.5000  4 Hf 3.06, 8 Co 3.31
Co  0.0000  0.0000  0.5000  2 Ru 2.17
Co  0.5000  0.0000  0.0000  2 Ru 2.17

---

Record 6
The following is a DFT calculation (PBE-GGA) of a geometry-optimized Nb4V2Re structure.

## Properties
Theoretical density = 7.5 g/cm3
Polymorph energy (0 for the lowest one) = 6.934 eV per formula unit
Uncorrected energy = -8.931 eV per atom
Fermi-level density of states = 12.35 states/eV/f.u.
ΔH_f (0 K) = 1206 meV/atom

Cell: 4.8432 4.8432 7.1023 Å, 70.06 70.06 90.00°
Closest atoms and distances in Å follow each position.
Positions (direct):
Re  0.0000  0.0000  0.0000  6 Nb 2.42-2.52
Nb  0.7978  0.7978  0.4043  1 V 2.28, 1 Re 2.52
Nb  0.2022  0.2022  0.5957  1 V 2.28, 1 Re 2.52
Nb  0.0000  0.5000  0.0000  2 Re 2.42
Nb  0.5000  0.0000  0.0000  2 Re 2.42
V  0.6142  0.6142  0.7715  1 Nb 2.28
V  0.3858  0.3858  0.2285  1 Nb 2.28